Compound: BaHgBiH
Source: Alexandria via LeMat-Bulk
Functional: GGA-PBE
Structure: optimized geometry

Geometry as POSCAR:
```
BaHgBiH
1.0
4.898 0.000 0.000
-2.449 4.242 0.000
0.000 0.000 5.369
Ba Hg Bi H
1 1 1 1
direct
0.000 0.000 0.000
0.667 0.333 0.403
0.333 0.667 0.562
0.667 0.333 0.044
```

Final energy = -11.264 eV/cell
Crystal system = trigonal